No. 1
PBE Pu6Ge3Rh, optimized geometry; calculated formation energy = -6.65 kcal/mol of atoms; uncorrected energy = -11.01 eV/atom
1.0
-2.3989 2.9707 7.1199
-7.0474 -2.4322 -1.3596
1.5149 -6.6575 3.2883
Pu Ge Rh
12 6 2
Cartesian
-4.0506 -5.6282 2.3453
-5.2499 -4.1429 5.9053
-3.0285 -6.6687 5.4160
-8.3917 -3.1286 6.7157
-0.3439 -5.4958 3.4313
-1.5997 -3.9407 7.1584
-5.9012 -2.7114 0.6124
-7.0444 -1.2958 4.0051
-0.2525 -2.1077 4.4482
-5.6156 1.4324 5.7480
-2.1947 -2.5790 1.6983
-3.3940 -1.0937 5.2583
-5.8809 -6.7453 4.4865
-6.9284 -5.3349 8.1289
-2.6408 -3.8946 4.3888
-6.0032 -1.3419 6.7746
-2.7630 1.5088 6.6768
-1.7155 0.0983 3.0344
-3.8651 -2.3969 7.9355
-4.7790 -2.8394 3.2283

***

No. 2
PBE Pr6NdTm4, optimized geometry; calculated formation energy = 6.65 kcal/mol of atoms; uncorrected energy = -4.38 eV/atom
1.0
7.5955 -3.1758 -5.7205
-5.3046 8.2291 2.1553
-2.0472 3.1758 9.2858
Pr Nd Tm
6 1 4
Cartesian
-5.2845 8.1980 6.0502
-4.1237 6.3972 8.5913
-1.2508 5.0077 4.1203
1.1455 2.5267 -1.7826
3.5511 0.0311 -1.6002
2.7742 0.0000 1.7826
0.0000 0.0000 0.0000
-3.4375 5.3326 1.4859
0.1670 2.8965 1.9764
-1.3743 2.1319 6.0023
-2.4632 9.2730 7.6970

***

No. 3
PBE Li2PuTl2, optimized geometry; calculated formation energy = -2.56 kcal/mol of atoms; uncorrected energy = -4.69 eV/atom
1.0
3.0578 0.0000 0.0000
0.0000 8.5265 0.0000
0.0000 0.0000 8.5265
Li Pu Tl
4 2 4
Cartesian
0.0000 3.2725 7.5358
0.0000 7.5358 5.2540
0.0000 5.2540 0.9907
0.0000 0.9907 3.2725
0.0000 0.0000 0.0000
0.0000 4.2633 4.2633
1.5289 1.5292 5.7924
1.5289 5.7924 6.9974
1.5289 6.9974 2.7341
1.5289 2.7341 1.5292